(1)
{"formula": "Ac2MnP3Pt12", "functional": "PBE", "state": "optimized geometry", "lattice_angstrom": [[-0.1613, 7.8349, -0.1210], [-7.0212, 3.3566, 0.9282], [-1.2789, 3.5664, 6.8608]], "species": ["Ac", "Ac", "Mn", "P", "P", "P", "Pt", "Pt", "Pt", "Pt", "Pt", "Pt", "Pt", "Pt", "Pt", "Pt", "Pt", "Pt"], "frac_coords": [[0.6149, 0.6149, 0.6149], [0.3851, 0.3851, 0.3851], [0.0000, 0.0000, 0.0000], [0.5000, 0.0000, 0.0000], [0.0000, 0.5000, 0.0000], [0.0000, 0.0000, 0.5000], [0.3404, 0.3404, 0.9012], [0.8817, 0.8817, 0.3691], [0.3691, 0.8817, 0.8817], [0.9012, 0.3404, 0.3404], [0.8817, 0.3691, 0.8817], [0.3404, 0.9012, 0.3404], [0.6596, 0.6596, 0.0988], [0.1183, 0.1183, 0.6309], [0.6309, 0.1183, 0.1183], [0.0988, 0.6596, 0.6596], [0.1183, 0.6309, 0.1183], [0.6596, 0.0988, 0.6596]]}

(2)
{"formula": "Ho2MgPa", "functional": "PBE", "state": "optimized geometry", "lattice_angstrom": [[3.3966, 0.0000, 0.0000], [0.0000, 3.3966, 0.0000], [0.0000, 0.0000, 9.4998]], "species": ["Mg", "Pa", "Ho", "Ho"], "frac_coords": [[0.5000, 0.5000, 0.0000], [0.5000, 0.5000, 0.5000], [0.0000, 0.0000, 0.7501], [0.0000, 0.0000, 0.2499]]}

no.,density of states at the Fermi level (states/eV per cell),formation energy (eV/atom)
1,7.5,-0.463
2,4.5,0.049